Computed, not measured: a relaxed structure of Er3Hg5O12 at the PBE-GGA level of DFT.

Cell: 11.506 11.506 11.506 Å, 109.47 109.47 109.47°
Atoms (fractional coordinates):
Er  0.125  0.875  0.750
Er  0.750  0.375  0.125
Er  0.875  0.125  0.250
Er  0.375  0.750  0.625
Er  0.750  0.875  0.625
Er  0.250  0.625  0.875
Er  0.625  0.250  0.375
Er  0.625  0.375  0.750
Er  0.250  0.125  0.375
Er  0.125  0.250  0.875
Er  0.375  0.625  0.250
Er  0.875  0.750  0.125
Hg  0.750  0.125  0.875
Hg  0.000  0.000  0.500
Hg  0.000  0.500  0.500
Hg  0.250  0.375  0.625
Hg  0.625  0.875  0.250
Hg  0.125  0.750  0.375
Hg  0.000  0.500  0.000
Hg  0.625  0.750  0.875
Hg  0.875  0.250  0.625
Hg  0.750  0.625  0.375
Hg  0.375  0.250  0.125
Hg  0.000  0.000  0.000
Hg  0.875  0.625  0.750
Hg  0.375  0.125  0.750
Hg  0.500  0.500  0.500
Hg  0.125  0.375  0.250
Hg  0.500  0.000  0.000
Hg  0.500  0.500  0.000
Hg  0.250  0.875  0.125
Hg  0.500  0.000  0.500
O  0.439  0.665  0.083
O  0.644  0.583  0.918
O  0.061  0.644  0.725
O  0.418  0.144  0.583
O  0.225  0.665  0.082
O  0.082  0.165  0.225
O  0.918  0.083  0.644
O  0.582  0.725  0.665
O  0.144  0.418  0.083
O  0.644  0.061  0.225
O  0.417  0.061  0.335
O  0.275  0.418  0.835
O  0.917  0.082  0.856
O  0.082  0.917  0.356
O  0.061  0.417  0.835
O  0.856  0.275  0.439
O  0.275  0.856  0.939
O  0.561  0.335  0.917
O  0.417  0.356  0.582
O  0.582  0.856  0.417
O  0.356  0.939  0.775
O  0.418  0.275  0.335
O  0.939  0.583  0.165
O  0.917  0.835  0.561
O  0.665  0.439  0.583
O  0.561  0.225  0.144
O  0.665  0.225  0.582
O  0.775  0.439  0.356
O  0.835  0.917  0.061
O  0.083  0.165  0.439
O  0.856  0.582  0.917
O  0.225  0.561  0.644
O  0.335  0.775  0.418
O  0.165  0.082  0.725
O  0.725  0.582  0.165
O  0.165  0.083  0.939
O  0.083  0.918  0.144
O  0.356  0.417  0.082
O  0.939  0.356  0.275
O  0.918  0.835  0.775
O  0.439  0.775  0.856
O  0.144  0.725  0.561
O  0.725  0.144  0.061
O  0.335  0.561  0.417
O  0.775  0.335  0.918
O  0.835  0.918  0.275
O  0.583  0.939  0.665
O  0.583  0.644  0.418

Properties
The mass density comes out at 9.612 g/cm³. As for the density of states at the Fermi level: 32.12 states/eV per cell. As for the total magnetization: 0.7 Bohr magnetons per cell. The uncorrected formation energy comes out at -24.517 eV per formula unit.

Computed, not measured: a relaxed structure of ErPaHg2O8 at the PBE-GGA level of DFT.

Cell: 6.264 6.264 6.264 Å, 109.48 109.48 109.44°
Atoms (fractional coordinates):
Hg  0.750  0.250  0.500
Hg  0.500  0.500  0.000
O  0.259  0.080  0.822
O  0.990  0.676  0.685
O  0.324  0.010  0.315
O  0.695  0.010  0.685
O  0.259  0.437  0.178
O  0.920  0.741  0.178
O  0.990  0.305  0.315
O  0.563  0.741  0.822
Er  0.250  0.750  0.500
Pa  0.000  0.000  0.000

Properties
The mass density comes out at 8.141 g/cm³. As for the density of states at the Fermi level: 3.60 states/eV per cell. As for the total magnetization: 0.0 Bohr magnetons per cell. The uncorrected formation energy comes out at -18.477 eV per formula unit.

Computed, not measured: a relaxed structure of ErPaHgO6 at the PBE-GGA level of DFT.

Cell: 4.910 5.609 5.609 Å, 120.00 90.00 90.00°
Atoms (fractional coordinates):
O  0.252  0.655  0.985
O  0.252  0.330  0.345
O  0.748  0.015  0.345
O  0.748  0.655  0.670
O  0.252  0.015  0.670
O  0.748  0.330  0.985
Hg  0.500  0.667  0.333
Pa  0.000  0.333  0.667
Er  0.500  0.000  0.000

Properties
The mass density comes out at 8.623 g/cm³. As for the density of states at the Fermi level: 5.45 states/eV per cell. As for the total magnetization: 1.8 Bohr magnetons per cell. The uncorrected formation energy comes out at -19.850 eV per formula unit.